No. 1
Compound: In2AgCl
Source: the Alexandria database
Functional: PBE-GGA
Structure: optimized geometry

```
data_In2AgCl
_chemical_formula_sum 'In2 Ag1 Cl1'
_symmetry_space_group_name_H-M 'P 4 m m'
_symmetry_Int_Tables_number 99
_symmetry_space_group_name_Hall 'P 4 -2'
_cell_length_a 3.5261
_cell_length_b 3.5261
_cell_length_c 7.7665
_cell_angle_alpha 90.00
_cell_angle_beta 90.00
_cell_angle_gamma 90.00
loop_
_atom_site_label
_atom_site_fract_x
_atom_site_fract_y
_atom_site_fract_z
In1 0.0000 0.0000 0.0000
In2 0.5000 0.5000 0.2860
Ag1 0.0000 0.0000 0.4932
Cl1 0.5000 0.5000 0.7384
```

Offset from the most stable computed form: 107 meV/atom
Final energy: -10.88 eV/cell
Formation energy (no corrections): -176 meV per atom
Calculated density: 6.4 g/cm3

No. 2
Compound: ZrGaSe2N
Source: the Alexandria database
Functional: PBE-GGA
Structure: optimized geometry

```
data_ZrGaSe2N
_chemical_formula_sum 'Zr1 Ga1 Se2 N1'
_symmetry_space_group_name_H-M 'P 4/m m m'
_symmetry_Int_Tables_number 123
_symmetry_space_group_name_Hall '-P 4 2'
_cell_length_a 5.3575
_cell_length_b 5.3575
_cell_length_c 4.2013
_cell_angle_alpha 90.00
_cell_angle_beta 90.00
_cell_angle_gamma 90.00
loop_
_atom_site_label
_atom_site_fract_x
_atom_site_fract_y
_atom_site_fract_z
Zr1 0.0000 0.0000 0.0000
Ga1 0.5000 0.5000 0.5000
Se1 0.0000 0.5000 0.0000
N1 0.0000 0.0000 0.5000
```

Offset from the most stable computed form: 0 meV/atom
Final energy: -27.70 eV/cell
Formation energy (no corrections): -167 meV per atom
Calculated density: 4.6 g/cm3

No. 3
Compound: Mg2In2Ag5
Source: the Alexandria database
Functional: PBE-GGA
Structure: optimized geometry

```
data_Mg2In2Ag5
_chemical_formula_sum 'Mg4 In4 Ag10'
_symmetry_space_group_name_H-M 'A m m 2'
_symmetry_Int_Tables_number 38
_symmetry_space_group_name_Hall 'A 2 -2'
_cell_length_a 8.7031
_cell_length_b 4.6834
_cell_length_c 8.6257
_cell_angle_alpha 90.00
_cell_angle_beta 90.00
_cell_angle_gamma 90.00
loop_
_atom_site_label
_atom_site_fract_x
_atom_site_fract_y
_atom_site_fract_z
Mg1 0.1889 0.0000 0.0000
In1 0.0000 0.0000 0.3446
In2 0.5000 0.0000 0.6134
Ag1 0.1624 0.0000 0.6766
Ag2 0.3318 0.0000 0.3029
Ag3 0.5000 0.0000 0.9345
```

Offset from the most stable computed form: 0 meV/atom
Final energy: -47.39 eV/cell
Calculated density: 7.7 g/cm3
Calculated formation energy: -86 meV/atom